<a>
# Co2RuO4 PBE with a Hubbard U optimized geometry
data_Co2RuO4
_chemical_formula_sum 'Co4 Ru2 O8'
_cell_length_a 5.989
_cell_length_b 5.989
_cell_length_c 5.970
_cell_angle_alpha 60.11
_cell_angle_beta 60.11
_cell_angle_gamma 55.42
_space_group_name_H-M_alt 'P 1'
_space_group_IT_number 1
_space_group_name_Hall 'P 1'
loop_
_atom_site_label
_atom_site_type_symbol
_atom_site_fract_x
_atom_site_fract_y
_atom_site_fract_z
O1 O 0.846 0.846 0.904
O2 O 0.404 0.404 0.346
Co1 Co 0.625 0.625 0.125
Co2 Co 0.254 0.254 0.246
O3 O 0.838 0.385 0.388
Ru1 Ru 0.125 0.625 0.625
O4 O 0.412 0.865 0.862
Co3 Co 0.625 0.625 0.625
Co4 Co 0.996 0.996 0.004
Ru2 Ru 0.625 0.125 0.625
O5 O 0.846 0.846 0.404
O6 O 0.404 0.404 0.846
O7 O 0.385 0.838 0.388
O8 O 0.865 0.412 0.862
# - N(E_F): 3.70 states/eV/cell

=====

<b>
# Co2RuO4 PBE with a Hubbard U optimized geometry
data_Co2RuO4
_chemical_formula_sum 'Co8 Ru4 O16'
_cell_length_a 6.091
_cell_length_b 6.091
_cell_length_c 10.416
_cell_angle_alpha 73.37
_cell_angle_beta 73.37
_cell_angle_gamma 59.83
_space_group_name_H-M_alt 'P 1'
_space_group_IT_number 1
_space_group_name_Hall 'P 1'
loop_
_atom_site_label
_atom_site_type_symbol
_atom_site_fract_x
_atom_site_fract_y
_atom_site_fract_z
O1 O 0.145 0.084 0.628
Ru1 Ru 0.500 0.500 0.000
Co1 Co 0.500 0.000 0.500
Co2 Co 0.000 0.500 0.000
O2 O 0.855 0.916 0.372
Co3 Co 0.949 0.418 0.692
O3 O 0.141 0.624 0.110
Co4 Co 0.000 0.000 0.500
O4 O 0.624 0.141 0.610
O5 O 0.916 0.855 0.872
O6 O 0.383 0.381 0.377
O7 O 0.381 0.383 0.877
O8 O 0.854 0.378 0.375
O9 O 0.617 0.619 0.623
Ru2 Ru 0.263 0.737 0.750
Ru3 Ru 0.500 0.500 0.500
Co5 Co 0.051 0.582 0.308
Co6 Co 0.418 0.949 0.192
Co7 Co 0.582 0.051 0.808
O10 O 0.146 0.622 0.625
O11 O 0.619 0.617 0.123
O12 O 0.859 0.376 0.890
Co8 Co 0.000 0.000 0.000
O13 O 0.622 0.146 0.125
O14 O 0.084 0.145 0.128
Ru4 Ru 0.737 0.263 0.250
O15 O 0.378 0.854 0.875
O16 O 0.376 0.859 0.390
# - N(E_F): 12.59 states/eV/cell

=====

<b> comes first in stability; the runner-up is 2.9 kJ/mol of atoms higher.

=====

<a>
# Co2S2O PBE with a Hubbard U optimized geometry
data_Co2S2O
_chemical_formula_sum 'Co2 S2 O1'
_cell_length_a 3.613
_cell_length_b 3.613
_cell_length_c 5.719
_cell_angle_alpha 71.59
_cell_angle_beta 71.59
_cell_angle_gamma 90.00
_space_group_name_H-M_alt 'P 1'
_space_group_IT_number 1
_space_group_name_Hall 'P 1'
loop_
_atom_site_label
_atom_site_type_symbol
_atom_site_fract_x
_atom_site_fract_y
_atom_site_fract_z
O1 O 0.000 0.000 0.000
Co1 Co 0.250 0.750 0.500
S1 S 0.637 0.637 0.727
Co2 Co 0.750 0.250 0.500
S2 S 0.363 0.363 0.273
# - N(E_F): 3.41 states/eV/cell

=====

<b>
# Co2S2O PBE with a Hubbard U optimized geometry
data_Co2S2O
_chemical_formula_sum 'Co4 S4 O2'
_cell_length_a 6.525
_cell_length_b 6.525
_cell_length_c 3.297
_cell_angle_alpha 90.00
_cell_angle_beta 90.00
_cell_angle_gamma 90.00
_space_group_name_H-M_alt 'P 1'
_space_group_IT_number 1
_space_group_name_Hall 'P 1'
loop_
_atom_site_label
_atom_site_type_symbol
_atom_site_fract_x
_atom_site_fract_y
_atom_site_fract_z
Co1 Co 0.350 0.150 0.500
S1 S 0.830 0.670 0.000
Co2 Co 0.150 0.650 0.500
S2 S 0.670 0.170 0.000
Co3 Co 0.850 0.350 0.500
S3 S 0.330 0.830 0.000
S4 S 0.170 0.330 0.000
O1 O 0.500 0.500 0.000
O2 O 0.000 0.000 0.000
Co4 Co 0.650 0.850 0.500
# - N(E_F): 5.17 states/eV/cell

=====

<b> comes first in stability; the runner-up is 0.8 kJ/mol of atoms higher.

=====

<a>
# CoS3O PBE with a Hubbard U optimized geometry
data_CoS3O
_chemical_formula_sum 'Co1 S3 O1'
_cell_length_a 4.221
_cell_length_b 4.221
_cell_length_c 4.221
_cell_angle_alpha 90.00
_cell_angle_beta 90.00
_cell_angle_gamma 90.00
_space_group_name_H-M_alt 'P 1'
_space_group_IT_number 1
_space_group_name_Hall 'P 1'
loop_
_atom_site_label
_atom_site_type_symbol
_atom_site_fract_x
_atom_site_fract_y
_atom_site_fract_z
Co1 Co 0.500 0.500 0.500
S1 S 0.000 0.500 0.000
S2 S 0.500 0.000 0.000
S3 S 0.000 0.000 0.500
O1 O 0.000 0.000 0.000
# - N(E_F): 2.47 states/eV/cell

=====

<b>
# CoS3O PBE with a Hubbard U optimized geometry
data_CoS3O
_chemical_formula_sum 'Co1 S3 O1'
_cell_length_a 4.394
_cell_length_b 4.394
_cell_length_c 4.394
_cell_angle_alpha 90.00
_cell_angle_beta 90.00
_cell_angle_gamma 90.00
_space_group_name_H-M_alt 'P 1'
_space_group_IT_number 1
_space_group_name_Hall 'P 1'
loop_
_atom_site_label
_atom_site_type_symbol
_atom_site_fract_x
_atom_site_fract_y
_atom_site_fract_z
Co1 Co 0.000 0.000 0.000
S1 S 0.000 0.000 0.500
S2 S 0.000 0.500 0.000
O1 O 0.500 0.500 0.500
S3 S 0.500 0.000 0.000
# - N(E_F): 4.66 states/eV/cell

=====

<a> comes first in stability; the runner-up is 18.3 kJ/mol of atoms higher.

=====

<a>
A plane-wave DFT calculation with PBE with a Hubbard U was carried out for an optimized crystal structure of CoS2O8.

The structure in CIF format:
```
data_CoS2O8
_chemical_formula_sum 'Co1 S2 O8'
_cell_length_a 4.638
_cell_length_b 6.163
_cell_length_c 6.163
_cell_angle_alpha 88.34
_cell_angle_beta 87.78
_cell_angle_gamma 87.78
_space_group_name_H-M_alt 'P 1'
_space_group_IT_number 1
_space_group_name_Hall 'P 1'
loop_
_atom_site_label
_atom_site_type_symbol
_atom_site_fract_x
_atom_site_fract_y
_atom_site_fract_z
S1 S 0.647 0.790 0.790
S2 S 0.353 0.210 0.210
O1 O 0.270 0.368 0.368
O2 O 0.210 0.987 0.255
Co1 Co 0.000 0.000 0.000
O3 O 0.334 0.824 0.824
O4 O 0.666 0.176 0.176
O5 O 0.790 0.013 0.745
O6 O 0.210 0.255 0.987
O7 O 0.730 0.632 0.632
O8 O 0.790 0.745 0.013
```

=====

<b>
# CoS2O8 PBE with a Hubbard U optimized geometry
data_CoS2O8
_chemical_formula_sum 'Co3 S6 O24'
_cell_length_a 8.845
_cell_length_b 8.845
_cell_length_c 8.845
_cell_angle_alpha 57.97
_cell_angle_beta 57.97
_cell_angle_gamma 57.97
_space_group_name_H-M_alt 'P 1'
_space_group_IT_number 1
_space_group_name_Hall 'P 1'
loop_
_atom_site_label
_atom_site_type_symbol
_atom_site_fract_x
_atom_site_fract_y
_atom_site_fract_z
S1 S 0.259 0.530 0.961
O1 O 0.393 0.599 0.770
O2 O 0.626 0.043 0.743
S2 S 0.046 0.751 0.455
O3 O 0.493 0.890 0.702
O4 O 0.026 0.945 0.307
O5 O 0.702 0.493 0.890
O6 O 0.976 0.260 0.352
O7 O 0.616 0.373 0.234
O8 O 0.067 0.670 0.994
O9 O 0.352 0.976 0.260
O10 O 0.334 0.486 0.103
O11 O 0.994 0.067 0.670
O12 O 0.103 0.334 0.486
O13 O 0.670 0.994 0.067
S3 S 0.530 0.961 0.259
O14 O 0.770 0.393 0.599
O15 O 0.307 0.026 0.945
O16 O 0.260 0.352 0.976
O17 O 0.373 0.234 0.616
O18 O 0.945 0.307 0.026
S4 S 0.455 0.046 0.751
Co1 Co 0.355 0.355 0.355
O19 O 0.890 0.702 0.493
S5 S 0.961 0.259 0.530
O20 O 0.599 0.770 0.393
O21 O 0.486 0.103 0.334
Co2 Co 0.147 0.147 0.147
S6 S 0.751 0.455 0.046
O22 O 0.043 0.743 0.626
Co3 Co 0.643 0.643 0.643
O23 O 0.234 0.616 0.373
O24 O 0.743 0.626 0.043
# - N(E_F): 16.55 states/eV/cell

=====

<a> comes first in stability; the runner-up is 1.7 kJ/mol of atoms higher.